[1]
Below is an optimized crystal structure of BaAl2Au, with properties calculated at the PBE level.

- Total moment: 0.0 Bohr magnetons per cell
- DFT formation energy: -0.90 eV/f.u.
- Total DFT energy (no corrections): -13.58 eV/f.u.

Structure (CIF):
```
data_BaAl2Au
_chemical_formula_sum 'Ba1 Al2 Au1'
_cell_length_a 3.513
_cell_length_b 3.513
_cell_length_c 7.788
_cell_angle_alpha 90.00
_cell_angle_beta 90.00
_cell_angle_gamma 90.00
_space_group_name_H-M_alt 'P 4 m m'
_space_group_IT_number 99
loop_
_space_group_symop_operation_xyz
'x,y,z'
'-y,x,z'
'-x,-y,z'
'y,-x,z'
'-x,y,z'
'y,x,z'
'x,-y,z'
'-y,-x,z'
loop_
_atom_site_label
_atom_site_type_symbol
_atom_site_fract_x
_atom_site_fract_y
_atom_site_fract_z
_atom_site_occupancy
Ba1 Ba 0.000 0.000 0.000 1
Al1 Al 0.000 0.000 0.530 1
Al2 Al 0.500 0.500 0.328 1
Au1 Au 0.500 0.500 0.677 1
```

***

[2]
Below is an optimized crystal structure of SrGaH5, with properties calculated at the PBE level.

- Total moment: 0.0 Bohr magnetons per cell
- Distance to the lowest polymorph of the same formula: 0.0000 eV per atom
- Total DFT energy (no corrections): -23.16 eV/f.u.

Structure (CIF):
```
data_SrGaH5
_chemical_formula_sum 'Sr4 Ga4 H20'
_cell_length_a 8.537
_cell_length_b 4.691
_cell_length_c 8.714
_cell_angle_alpha 90.00
_cell_angle_beta 90.00
_cell_angle_gamma 90.00
_space_group_name_H-M_alt 'P n m a'
_space_group_IT_number 62
loop_
_space_group_symop_operation_xyz
'x,y,z'
'-x,-y,-z'
'-x+1/2,-y,z+1/2'
'x+1/2,y,-z+1/2'
'x+1/2,-y+1/2,-z+1/2'
'-x+1/2,y+1/2,z+1/2'
'-x,y+1/2,-z'
'x,-y+1/2,z'
loop_
_atom_site_label
_atom_site_type_symbol
_atom_site_fract_x
_atom_site_fract_y
_atom_site_fract_z
_atom_site_occupancy
Sr1 Sr 0.007 0.250 0.184 1
Ga1 Ga 0.166 0.250 0.584 1
H1 H 0.021 0.250 0.911 1
H2 H 0.021 0.750 0.403 1
H3 H 0.218 0.250 0.408 1
H4 H 0.226 0.527 0.671 1
```